InAs | SCAN | single point on PBEsol structure

Unit cell a=3.5254 b=3.5254 c=8.8199 alpha=90.00 beta=90.00 gamma=120.00
Space group P-3m1 (No. 164)
Asymmetric unit:
In: 0.3333 0.6667 0.1438
As: 0.3333 0.6667 0.5855

The calculated total energy is -26.6520 eV per atom. The formation energy from the elements comes out at 0.14 eV/atom. The value obtained for the density is 6.6 Mg/m³. The value obtained for the total magnetic moment is 0.00 μB per formula unit.